Version one
VASP calculation (GGA-PBE) on crystalline Li2NbCo at its relaxed geometry.

Computed properties:
Total magnetization, μB per cell: 5.509

Cell lengths 5.918, 5.918, 5.918 Å; angles 90.00, 90.00, 90.00 degrees
Space group Fm-3m (No. 225)
Symmetry-distinct sites (fractional):
Li 0.250 0.250 0.250 (multiplicity 8)
Nb 0.000 0.000 0.000 (multiplicity 4)
Co 0.000 0.000 0.500 (multiplicity 4)

=====

Version two
VASP calculation (GGA-PBE) on crystalline Li2NbCo at its relaxed geometry.

Computed properties:
Total magnetization, μB per cell: 5.704

Cell lengths 6.967, 6.967, 4.765 Å; angles 90.00, 90.00, 90.00 degrees
Space group I-42d (No. 122)
Symmetry-distinct sites (fractional):
Li 0.214 0.250 0.125 (multiplicity 8)
Nb 0.000 0.000 0.500 (multiplicity 4)
Co 0.000 0.000 0.000 (multiplicity 4)

=====

Relative energies, in kJ/mol of atoms, with the most stable structure set to zero: version one 0.0; version two 6.2.

=====

Version one
VASP calculation (GGA-PBE) on crystalline LiNd4Co at its relaxed geometry.

Computed properties:
Total magnetization, μB per cell: 0.000

Cell lengths 13.919, 13.919, 13.919 Å; angles 90.00, 90.00, 90.00 degrees
Space group F-43m (No. 216)
Symmetry-distinct sites (fractional):
Li 0.077 0.077 0.077 (multiplicity 16)
Nd 0.000 0.000 0.314 (multiplicity 24)
Nd 0.061 0.250 0.250 (multiplicity 24)
Nd 0.156 0.156 0.844 (multiplicity 16)
Co 0.141 0.141 0.641 (multiplicity 16)

=====

Version two
VASP calculation (GGA-PBE) on crystalline LiNd4Co at its relaxed geometry.

Computed properties:
Total magnetization, μB per cell: 0.000

Cell lengths 15.152, 7.405, 6.407 Å; angles 90.00, 100.62, 90.00 degrees
Space group C2/m (No. 12)
Symmetry-distinct sites (fractional):
Li 0.180 0.000 0.203 (multiplicity 4)
Nd 0.000 0.245 0.000 (multiplicity 4)
Nd 0.122 0.259 0.571 (multiplicity 8)
Nd 0.196 0.500 0.112 (multiplicity 4)
Co 0.022 0.500 0.306 (multiplicity 4)

=====

Relative energies, in kJ/mol of atoms, with the most stable structure set to zero: version one 0.0; version two 9.0.

=====

Version one
VASP calculation (GGA-PBE) on crystalline LiCoNi3 at its relaxed geometry.

Computed properties:
Total magnetization, μB per cell: 6.116

Cell lengths 2.464, 5.995, 7.814 Å; angles 104.75, 99.00, 90.24 degrees
Space group P-1 (No. 2)
Symmetry-distinct sites (fractional):
Li 0.116 0.019 0.235 (multiplicity 2)
Co 0.083 0.577 0.163 (multiplicity 2)
Ni 0.282 0.184 0.563 (multiplicity 2)
Ni 0.316 0.607 0.633 (multiplicity 2)
Ni 0.486 0.779 0.968 (multiplicity 2)

=====

Version two
VASP calculation (GGA-PBE) on crystalline LiCoNi3 at its relaxed geometry.

Computed properties:
Total magnetization, μB per cell: 3.953

Cell lengths 4.307, 4.307, 4.307 Å; angles 90.00, 90.00, 90.00 degrees
Space group Pm-3m (No. 221)
Symmetry-distinct sites (fractional):
Li 0.000 0.000 0.000 (multiplicity 1)
Co 0.500 0.500 0.500 (multiplicity 1)
Ni 0.000 0.500 0.500 (multiplicity 3)

=====

Relative energies, in kJ/mol of atoms, with the most stable structure set to zero: version one 0.0; version two 72.4.